(1)
A plane-wave DFT calculation with PBE was carried out for an optimized crystal structure of Tb5Pr2Nd3.

extended XYZ file:
```
20
Lattice="5.399 -8.342 0.000 5.399 8.342 0.000 -5.396 0.000 7.585" Properties=species:S:1:pos:R:3 pbc="T T T"
Tb 1.352 7.893 5.688
Tb -1.366 1.963 5.708
Tb 4.050 3.766 1.896
Tb 1.332 -1.963 1.916
Tb 4.050 0.471 1.896
Tb 1.352 -0.471 5.688
Tb 4.070 1.963 5.668
Tb 1.352 -3.766 5.688
Tb 6.768 -1.963 1.876
Tb 4.050 -7.893 1.896
Pr 1.354 2.034 3.465
Pr -1.344 -2.034 7.257
Pr 6.746 2.034 0.327
Pr 4.048 -2.034 4.120
Nd 1.353 2.066 0.338
Nd 1.352 4.545 5.688
Nd -1.345 -2.066 4.130
Nd 6.747 2.066 3.455
Nd 4.050 -4.545 1.896
Nd 4.049 -2.066 7.247
```

Summary:
symmetry: No. 15
E_form: 0.18 eV per atom
N(E_F): 1.6069 states/eV/atom

***

(2)
A plane-wave DFT calculation with PBE was carried out for an optimized crystal structure of Tb3PrNd2.

extended XYZ file:
```
12
Lattice="4.544 -4.978 0.000 4.544 4.978 0.000 -1.829 0.000 8.913" Properties=species:S:1:pos:R:3 pbc="T T T"
Tb 3.173 4.164 6.685
Tb 2.279 0.835 0.006
Tb 1.365 -0.835 4.463
Tb 5.895 0.835 4.450
Tb 4.981 -0.835 8.907
Tb 4.087 -4.164 2.228
Pr 3.173 0.845 6.685
Pr 4.087 -0.845 2.228
Nd 2.738 2.518 3.335
Nd 5.437 2.518 1.122
Nd 1.823 -2.518 7.791
Nd 4.522 -2.518 5.579
```

Summary:
symmetry: No. 15
E_form: 0.06 eV per atom
N(E_F): 1.4486 states/eV/atom

***

(3)
A plane-wave DFT calculation with PBE was carried out for an optimized crystal structure of Tb5Pr2Nd6.

extended XYZ file:
```
26
Lattice="11.908 0.000 0.000 0.000 20.688 0.000 0.000 0.000 3.665" Properties=species:S:1:pos:R:3 pbc="T T T"
Tb 0.000 0.000 0.000
Tb 1.090 5.742 0.000
Tb 2.374 11.484 0.000
Tb 3.580 1.140 0.000
Tb 4.864 16.086 0.000
Tb 5.954 10.344 0.000
Tb 7.044 4.602 0.000
Tb 8.328 19.548 0.000
Tb 9.535 9.204 0.000
Tb 10.818 14.947 0.000
Pr 2.007 14.804 1.833
Pr 3.947 4.460 1.833
Pr 7.961 16.229 1.833
Pr 9.902 5.884 1.833
Nd 0.707 8.745 1.833
Nd 0.942 2.785 1.833
Nd 2.126 18.050 0.000
Nd 3.829 7.705 0.000
Nd 5.013 13.130 1.833
Nd 5.247 19.089 1.833
Nd 6.661 1.600 1.833
Nd 6.896 7.559 1.833
Nd 8.080 12.983 0.000
Nd 9.783 2.639 0.000
Nd 10.967 17.903 1.833
Nd 11.201 11.944 1.833
```

Summary:
symmetry: No. 55
E_form: 0.10 eV per atom
N(E_F): 1.1952 states/eV/atom

***

(4)
A plane-wave DFT calculation with PBE was carried out for an optimized crystal structure of Tb3Pr5Nd2.

extended XYZ file:
```
20
Lattice="5.509 -7.540 0.000 5.509 7.540 0.000 -5.484 0.000 8.494" Properties=species:S:1:pos:R:3 pbc="T T T"
Tb 1.396 7.244 6.370
Tb 1.328 1.871 3.792
Tb -1.414 -1.871 8.038
Tb 6.949 1.871 0.455
Tb 4.206 -1.871 4.702
Tb 4.138 -7.244 2.123
Pr -1.335 1.835 6.481
Pr 1.396 4.100 6.370
Pr 4.138 3.501 2.123
Pr 1.407 -1.835 2.234
Pr 4.138 0.389 2.123
Pr 1.396 -0.389 6.370
Pr 4.128 1.835 6.260
Pr 1.396 -3.501 6.370
Pr 4.138 -4.100 2.123
Pr 6.870 -1.835 2.013
Nd 1.342 1.843 0.493
Nd -1.400 -1.843 4.739
Nd 6.935 1.843 3.754
Nd 4.193 -1.843 8.001
```

Summary:
symmetry: No. 15
E_form: 0.17 eV per atom
N(E_F): 1.7630 states/eV/atom

***

(5)
A plane-wave DFT calculation with PBE was carried out for an optimized crystal structure of TbPr3Nd2.

extended XYZ file:
```
12
Lattice="6.783 -1.799 0.000 6.783 1.799 0.000 -3.766 0.000 17.562" Properties=species:S:1:pos:R:3 pbc="T T T"
Tb -0.091 0.000 3.159
Tb 9.891 0.000 14.403
Pr -0.147 0.000 8.642
Pr -0.055 0.000 14.663
Pr 4.686 0.000 5.845
Pr 5.115 0.000 11.717
Pr 9.856 0.000 2.899
Pr 9.948 0.000 8.920
Nd 1.778 0.000 0.018
Nd 1.587 0.000 11.670
Nd 8.213 0.000 5.892
Nd 8.023 0.000 17.543
```

Summary:
symmetry: No. 12
E_form: 0.10 eV per atom
N(E_F): 1.7138 states/eV/atom

***

(6)
A plane-wave DFT calculation with PBE was carried out for an optimized crystal structure of Tb7PrNd3.

extended XYZ file:
```
11
Lattice="5.596 0.000 0.000 -0.006 7.029 0.000 0.000 -3.483 9.491" Properties=species:S:1:pos:R:3 pbc="T T T"
Tb 0.000 0.000 0.000
Tb -0.002 0.038 7.878
Tb 5.592 3.508 1.613
Tb 2.797 0.014 2.738
Tb 2.796 0.024 6.066
Tb 2.794 3.522 3.426
Tb 2.792 3.533 6.753
Pr 0.000 -1.741 4.746
Nd -0.003 1.773 4.746
Nd 2.799 -1.497 9.487
Nd 2.791 5.043 0.004
```

Summary:
symmetry: No. 2
E_form: 0.14 eV per atom
N(E_F): 1.4752 states/eV/atom

***

(7)
A plane-wave DFT calculation with PBE was carried out for an optimized crystal structure of Tb3Pr6Nd.

extended XYZ file:
```
20
Lattice="5.551 -9.733 0.000 5.551 9.733 0.000 0.000 0.000 6.463" Properties=species:S:1:pos:R:3 pbc="T T T"
Tb 5.551 7.454 3.232
Tb 3.612 2.275 5.629
Tb 3.612 -2.275 2.398
Tb 7.489 2.275 5.629
Tb 7.489 -2.275 2.398
Tb 5.551 -7.454 0.000
Pr 2.599 4.053 1.827
Pr 1.877 0.770 2.982
Pr 1.877 -0.770 6.213
Pr 5.551 5.484 0.382
Pr 2.599 -4.053 5.059
Pr 5.551 0.679 1.763
Pr 5.551 -0.679 4.994
Pr 8.502 4.053 1.827
Pr 5.551 -5.484 3.613
Pr 9.224 0.770 2.982
Pr 9.224 -0.770 6.213
Pr 8.502 -4.053 5.059
Nd 5.551 3.736 3.337
Nd 5.551 -3.736 0.106
```

Summary:
symmetry: No. 36
E_form: 0.13 eV per atom
N(E_F): 1.3901 states/eV/atom

***

(8)
A plane-wave DFT calculation with PBE was carried out for an optimized crystal structure of Tb9Pr2Nd.

extended XYZ file:
```
12
Lattice="5.084 0.000 0.000 0.000 5.084 0.000 0.000 0.000 15.254" Properties=species:S:1:pos:R:3 pbc="T T T"
Tb 0.000 0.000 0.000
Tb 0.000 0.000 5.079
Tb 0.000 0.000 10.175
Tb 0.000 2.542 2.532
Tb 0.000 2.542 7.627
Tb 0.000 2.542 12.722
Tb 2.542 0.000 2.532
Tb 2.542 0.000 7.627
Tb 2.542 0.000 12.722
Pr 2.542 2.542 5.081
Pr 2.542 2.542 10.174
Nd 2.542 2.542 0.000
```

Summary:
symmetry: No. 123
E_form: 0.02 eV per atom
N(E_F): 1.4935 states/eV/atom

***

(9)
A plane-wave DFT calculation with PBE was carried out for an optimized crystal structure of TbPr8Nd2.

extended XYZ file:
```
11
Lattice="4.641 -8.414 0.000 4.641 8.414 0.000 -3.342 0.000 5.085" Properties=species:S:1:pos:R:3 pbc="T T T"
Tb 0.000 0.000 0.000
Pr -0.268 1.960 3.447
Pr 4.641 4.964 0.000
Pr -0.268 -1.960 3.447
Pr 3.219 0.000 1.033
Pr 2.721 0.000 4.052
Pr 6.208 1.960 1.638
Pr 4.641 -4.964 0.000
Pr 6.208 -1.960 1.638
Nd 2.970 3.227 2.543
Nd 2.970 -3.227 2.543
```

Summary:
symmetry: No. 12
E_form: 0.13 eV per atom
N(E_F): 1.3695 states/eV/atom

***

(10)
A plane-wave DFT calculation with PBE was carried out for an optimized crystal structure of Tb12PrNd6.

extended XYZ file:
```
19
Lattice="6.681 3.857 4.241 -6.681 3.857 4.241 0.000 -7.715 4.241" Properties=species:S:1:pos:R:3 pbc="T T T"
Tb -1.720 -4.736 4.241
Tb -4.962 0.879 4.241
Tb 0.000 -2.118 2.988
Tb -1.834 1.059 2.988
Tb 1.720 -4.736 4.241
Tb -3.242 3.857 4.241
Tb 1.834 1.059 2.988
Tb -1.834 -1.059 9.734
Tb 4.962 0.879 4.241
Tb 3.242 3.857 4.241
Tb 1.834 -1.059 9.734
Tb 0.000 2.118 9.734
Pr 0.000 0.000 6.361
Nd -2.958 -1.708 5.730
Nd 0.000 -3.415 6.992
Nd -2.958 1.708 6.992
Nd 2.958 -1.708 5.730
Nd 0.000 3.415 5.730
Nd 2.958 1.708 6.992
```

Summary:
symmetry: No. 166
E_form: 0.21 eV per atom
N(E_F): 1.6836 states/eV/atom

***

(11)
A plane-wave DFT calculation with PBE was carried out for an optimized crystal structure of Tb3Pr2Nd6.

extended XYZ file:
```
11
Lattice="-2.406 2.406 17.232 2.406 -2.406 17.232 2.406 2.406 -17.232" Properties=species:S:1:pos:R:3 pbc="T T T"
Tb 0.000 0.000 0.000
Tb 0.000 0.000 6.759
Tb 0.000 0.000 27.704
Pr 0.000 0.000 15.669
Pr 0.000 0.000 18.794
Nd 2.406 0.000 4.210
Nd 0.000 0.000 10.187
Nd 2.406 0.000 13.021
Nd 0.000 2.406 4.210
Nd 0.000 0.000 24.276
Nd 0.000 2.406 13.021
```

Summary:
symmetry: No. 139
E_form: 0.27 eV per atom
N(E_F): 1.5010 states/eV/atom

***

(12)
A plane-wave DFT calculation with PBE was carried out for an optimized crystal structure of TbPr6Nd2.

extended XYZ file:
```
9
Lattice="4.807 -9.073 0.000 4.807 9.073 0.000 0.000 0.000 3.692" Properties=species:S:1:pos:R:3 pbc="T T T"
Tb 0.000 0.000 0.000
Pr 3.127 2.980 0.000
Pr 3.040 0.000 1.846
Pr 3.127 -2.980 0.000
Pr 6.488 2.980 0.000
Pr 6.574 0.000 1.846
Pr 6.488 -2.980 0.000
Nd 4.807 5.873 1.846
Nd 4.807 -5.873 1.846
```

Summary:
symmetry: No. 65
E_form: 0.13 eV per atom
N(E_F): 1.4952 states/eV/atom

***

(13)
A plane-wave DFT calculation with PBE was carried out for an optimized crystal structure of Tb5Pr8Nd.

extended XYZ file:
```
14
Lattice="-4.877 4.877 5.231 4.877 -4.877 5.231 4.877 4.877 -5.231" Properties=species:S:1:pos:R:3 pbc="T T T"
Tb 0.000 0.000 0.000
Tb 2.886 3.822 -0.762
Tb 5.931 2.886 0.762
Tb 1.991 1.055 4.469
Tb -1.055 1.991 5.993
Pr 6.571 -0.679 1.044
Pr 5.724 3.115 -2.646
Pr 3.183 0.679 1.044
Pr 4.197 -1.694 4.188
Pr -0.847 1.761 2.586
Pr 5.556 1.694 4.188
Pr 3.115 4.030 2.646
Pr 1.761 0.847 7.877
Nd 0.000 4.877 2.616
```

Summary:
symmetry: No. 82
E_form: 0.23 eV per atom
N(E_F): 1.4892 states/eV/atom

***

(14)
A plane-wave DFT calculation with PBE was carried out for an optimized crystal structure of TbPr4Nd.

extended XYZ file:
```
6
Lattice="0.000 4.776 4.776 4.776 0.000 4.776 4.776 4.776 0.000" Properties=species:S:1:pos:R:3 pbc="T T T"
Tb 0.000 0.000 0.000
Pr 3.577 3.577 3.577
Pr 5.976 5.976 3.577
Pr 5.976 3.577 5.976
Pr 3.577 5.976 5.976
Nd 7.164 7.164 7.164
```

Summary:
symmetry: No. 216
E_form: 0.25 eV per atom
N(E_F): 1.8315 states/eV/atom

***

(15)
A plane-wave DFT calculation with PBE was carried out for an optimized crystal structure of Tb2PrNd7.

extended XYZ file:
```
10
Lattice="4.478 -8.153 0.000 4.478 8.153 0.000 0.000 0.000 5.752" Properties=species:S:1:pos:R:3 pbc="T T T"
Tb 4.478 4.829 0.000
Tb 4.478 -4.829 0.000
Pr 4.478 0.000 2.876
Nd 0.000 0.000 0.000
Nd 2.871 1.888 0.000
Nd 4.478 3.715 2.876
Nd 2.871 -1.888 0.000
Nd 6.085 1.888 0.000
Nd 4.478 -3.715 2.876
Nd 6.085 -1.888 0.000
```

Summary:
symmetry: No. 65
E_form: 0.63 eV per atom
N(E_F): 1.4785 states/eV/atom

***

(16)
A plane-wave DFT calculation with PBE was carried out for an optimized crystal structure of TbPr6Nd.

extended XYZ file:
```
8
Lattice="5.218 0.000 0.000 0.000 5.218 0.000 0.000 0.000 10.439" Properties=species:S:1:pos:R:3 pbc="T T T"
Tb 0.000 0.000 0.000
Pr 0.000 2.609 2.589
Pr 0.000 2.609 7.850
Pr 2.609 0.000 2.589
Pr 2.609 0.000 7.850
Pr 2.609 2.609 0.000
Pr 2.609 2.609 5.220
Nd 0.000 0.000 5.220
```

Summary:
symmetry: No. 123
E_form: 0.01 eV per atom
N(E_F): 1.7390 states/eV/atom

***

(17)
A plane-wave DFT calculation with PBE was carried out for an optimized crystal structure of Tb2PrNd.

extended XYZ file:
```
4
Lattice="1.817 1.049 11.780 -1.817 1.049 11.780 0.000 -2.098 11.780" Properties=species:S:1:pos:R:3 pbc="T T T"
Tb 0.000 0.000 8.847
Tb 0.000 0.000 26.493
Pr 0.000 0.000 17.670
Nd 0.000 0.000 0.000
```

Summary:
symmetry: No. 166
E_form: 0.01 eV per atom
N(E_F): 1.1563 states/eV/atom

***

(18)
A plane-wave DFT calculation with PBE was carried out for an optimized crystal structure of Tb6Pr3Nd.

extended XYZ file:
```
20
Lattice="5.533 -9.569 0.000 5.533 9.569 0.000 0.000 0.000 6.407" Properties=species:S:1:pos:R:3 pbc="T T T"
Tb 5.533 8.845 3.203
Tb 2.888 4.009 0.039
Tb 5.533 4.334 1.799
Tb 3.676 0.858 1.153
Tb 3.676 -0.858 4.356
Tb 2.888 -4.009 3.242
Tb 8.178 4.009 0.039
Tb 7.390 0.858 1.153
Tb 7.390 -0.858 4.356
Tb 5.533 -4.334 5.002
Tb 8.178 -4.009 3.242
Tb 5.533 -8.845 0.000
Pr 1.959 2.183 3.818
Pr 1.959 -2.183 0.615
Pr 5.533 2.149 4.517
Pr 5.533 -2.149 1.314
Pr 9.107 2.183 3.818
Pr 9.107 -2.183 0.615
Nd 5.533 5.871 4.854
Nd 5.533 -5.871 1.651
```

Summary:
symmetry: No. 36
E_form: 0.15 eV per atom
N(E_F): 1.3970 states/eV/atom

***

(19)
A plane-wave DFT calculation with PBE was carried out for an optimized crystal structure of Tb7Pr2Nd3.

extended XYZ file:
```
12
Lattice="6.424 0.000 0.000 0.000 3.567 0.000 -1.934 0.000 17.653" Properties=species:S:1:pos:R:3 pbc="T T T"
Tb 0.000 0.000 0.000
Tb 1.133 1.784 2.910
Tb 0.672 1.784 8.829
Tb 0.134 0.000 14.767
Tb 4.356 0.000 2.886
Tb 3.817 1.784 8.824
Tb 3.357 1.784 14.743
Pr -0.949 1.784 11.877
Pr 5.438 1.784 5.775
Nd 2.258 0.000 6.006
Nd 3.212 1.784 0.000
Nd 2.232 0.000 11.647
```

Summary:
symmetry: No. 10
E_form: 0.08 eV per atom
N(E_F): 1.4894 states/eV/atom